DFT (GGA-PBE) results for a relaxed structure of Ta2Ni3Ir3. Values from VASP.

Output
- uncorrected energy (eV/atom) = -8.957
- symmetry = No. 47
- total magnetic moment (μB per formula unit) = 0.000

The structure in Quantum ESPRESSO input format:
```
&SYSTEM
  ibrav = 0, nat = 8, ntyp = 3
/
ATOMIC_SPECIES
Ta 180.95 Ta.upf
Ir 192.22 Ir.upf
Ni 58.69 Ni.upf
ATOMIC_POSITIONS crystal
Ta 0.0000 0.0000 0.2545
Ta 0.0000 0.0000 0.7455
Ir 0.5000 0.5000 0.7418
Ir 0.5000 0.0000 0.0000
Ir 0.5000 0.5000 0.2582
Ni 0.0000 0.5000 0.5000
Ni 0.0000 0.5000 0.0000
Ni 0.5000 0.0000 0.5000
CELL_PARAMETERS angstrom
-3.5957 0.0247 1.0475
-1.0798 -0.0362 -3.7055
-0.0285 -7.6946 0.0834
```